1.
VASP calculation (PBE) on Cu5Ag3 after structural relaxation.

The structure belongs to space group P2/m (No. 10); the cell edges are 4.656, 2.750 and 9.002 Å and the angles 90.00°, 99.78° and 90.00°. The distinct sites, in fractional coordinates, are Cu at (0.000, 0.000, 0.000), Cu at (0.000, 0.500, 0.500), Cu at (0.252, 0.000, 0.756), Cu at (0.500, 0.500, 0.000), Ag at (0.240, 0.500, 0.240) and Ag at (0.500, 0.000, 0.500).

As for the crystal system: monoclinic. Its relative energy among the computed polymorphs is 0.54 eV/f.u.



2.
VASP calculation (PBE) on CuAg after structural relaxation.

The structure belongs to space group Pm (No. 6); the cell edges are 6.803, 2.823 and 6.829 Å and the angles 90.00°, 114.33° and 90.00°. The distinct sites, in fractional coordinates, are Cu at (0.000, 0.000, 0.000), Cu at (0.102, 0.500, 0.341), Cu at (0.454, 0.000, 0.485), Cu at (0.763, 0.000, 0.238), Ag at (0.221, 0.000, 0.720), Ag at (0.379, 0.500, 0.130), Ag at (0.625, 0.500, 0.871) and Ag at (0.828, 0.500, 0.593).

As for the crystal system: monoclinic.



3.
VASP calculation (PBE) on Cu4Ag5 after structural relaxation.

The structure belongs to space group Cm (No. 8); the cell edges are 9.246, 2.831 and 11.442 Å and the angles 90.00°, 113.78° and 90.00°. The distinct sites, in fractional coordinates, are Cu at (0.000, 0.000, 0.000), Cu at (0.001, 0.000, 0.348), Cu at (0.173, 0.500, 0.534), Cu at (0.332, 0.000, 0.437), Ag at (0.003, 0.000, 0.642), Ag at (0.165, 0.500, 0.231), Ag at (0.165, 0.500, 0.889), Ag at (0.335, 0.000, 0.767) and Ag at (0.341, 0.000, 0.118).

As for the crystal system: monoclinic. Its relative energy among the computed polymorphs is 0.43 eV/f.u.



4.
VASP calculation (PBE) on Cu4Ag5 after structural relaxation.

The structure belongs to space group C2/m (No. 12); the cell edges are 14.310, 2.844 and 6.785 Å and the angles 90.00°, 92.42° and 90.00°. The distinct sites, in fractional coordinates, are Cu at (0.178, 0.000, 0.023), Cu at (0.221, 0.500, 0.337), Ag at (0.000, 0.500, 0.000), Ag at (0.061, 0.000, 0.341) and Ag at (0.123, 0.500, 0.691).

As for the crystal system: monoclinic. Its relative energy among the computed polymorphs is 0.43 eV/f.u.



5.
VASP calculation (PBE) on CuAg after structural relaxation.

The structure belongs to space group Cm (No. 8); the cell edges are 8.857, 3.851 and 8.747 Å and the angles 90.00°, 90.74° and 90.00°. The distinct sites, in fractional coordinates, are Cu at (0.000, 0.000, 0.000), Cu at (0.003, 0.500, 0.500), Cu at (0.203, 0.000, 0.401), Cu at (0.308, 0.000, 0.097), Cu at (0.408, 0.000, 0.812), Ag at (0.097, 0.000, 0.701), Ag at (0.104, 0.500, 0.201), Ag at (0.209, 0.500, 0.907), Ag at (0.302, 0.500, 0.597) and Ag at (0.403, 0.500, 0.299).

As for the crystal system: monoclinic.



6.
VASP calculation (PBE) on CuAg after structural relaxation.

The structure belongs to space group Cm (No. 8); the cell edges are 9.186, 2.791 and 7.582 Å and the angles 90.00°, 113.97° and 90.00°. The distinct sites, in fractional coordinates, are Cu at (0.000, 0.000, 0.000), Cu at (0.010, 0.000, 0.484), Cu at (0.359, 0.000, 0.172), Ag at (0.177, 0.500, 0.847), Ag at (0.178, 0.500, 0.313) and Ag at (0.348, 0.000, 0.662).

As for the crystal system: monoclinic.



7.
VASP calculation (PBE) on CuAg2 after structural relaxation.

The structure belongs to space group Imm2 (No. 44); the cell edges are 3.990, 8.489 and 8.499 Å and the angles 90.00°, 90.00° and 90.00°. The distinct sites, in fractional coordinates, are Cu at (0.000, 0.000, 0.000), Cu at (0.000, 0.344, 0.346), Ag at (0.000, 0.000, 0.338), Ag at (0.000, 0.000, 0.688), Ag at (0.000, 0.325, 0.005) and Ag at (0.000, 0.334, 0.669).

As for the crystal system: orthorhombic. Its relative energy among the computed polymorphs is 0.14 eV/f.u.



8.
VASP calculation (PBE) on Cu3Ag5 after structural relaxation.

The structure belongs to space group Pmmm (No. 47); the cell edges are 2.857, 5.702 and 7.727 Å and the angles 90.00°, 90.00° and 90.00°. The distinct sites, in fractional coordinates, are Cu at (0.000, 0.000, 0.000), Cu at (0.000, 0.000, 0.500), Cu at (0.000, 0.500, 0.000), Ag at (0.000, 0.500, 0.500) and Ag at (0.500, 0.245, 0.239).

As for the crystal system: orthorhombic. Its relative energy among the computed polymorphs is 0.41 eV/f.u.



9.
VASP calculation (PBE) on Cu4Ag5 after structural relaxation.

The structure belongs to space group I4/mmm (No. 139); the cell edges are 2.853, 2.853 and 33.524 Å and the angles 90.00°, 90.00° and 90.00°. The distinct sites, in fractional coordinates, are Cu at (0.000, 0.000, 0.183), Cu at (0.000, 0.000, 0.272), Ag at (0.000, 0.000, 0.063), Ag at (0.000, 0.000, 0.372) and Ag at (0.000, 0.000, 0.500).

As for the crystal system: tetragonal. Its relative energy among the computed polymorphs is 0.00 eV/f.u.



10.
VASP calculation (PBE) on Cu2Ag5 after structural relaxation.

The structure belongs to space group C2/m (No. 12); the cell edges are 9.530, 2.881 and 8.308 Å and the angles 90.00°, 93.37° and 90.00°. The distinct sites, in fractional coordinates, are Cu at (0.160, 0.000, 0.068), Ag at (0.000, 0.000, 0.500), Ag at (0.058, 0.500, 0.812) and Ag at (0.221, 0.500, 0.345).

As for the crystal system: monoclinic. Its relative energy among the computed polymorphs is 0.13 eV/f.u.



11.
VASP calculation (PBE) on Cu3Ag5 after structural relaxation.

The structure belongs to space group P-4m2 (No. 115); the cell edges are 3.965, 3.965 and 8.010 Å and the angles 90.00°, 90.00° and 90.00°. The distinct sites, in fractional coordinates, are Cu at (0.000, 0.000, 0.000), Cu at (0.000, 0.500, 0.240), Ag at (0.000, 0.000, 0.500), Ag at (0.000, 0.500, 0.758), Ag at (0.500, 0.500, 0.000) and Ag at (0.500, 0.500, 0.500).

As for the crystal system: tetragonal. Its relative energy among the computed polymorphs is 0.44 eV/f.u.



Electronic total energy per entry: -3.27 -3.18 -3.14 -3.14 -3.17 -3.17 -3.04 -3.07 -3.18 -3.03 -3.07 eV/atom